Run a
ZrBTe | PBE-GGA | optimized geometry

Results
* mass density: 5.611 Mg/m³

Unit cell a=4.581 b=4.581 c=4.581 alpha=60.00 beta=60.00 gamma=60.00
Fractional positions:
Te1 0.500 0.500 0.500
B1 0.000 0.000 0.000
Zr1 0.750 0.750 0.750

=====

Run b
ZrBTe | PBE-GGA | optimized geometry

Results
* mass density: 5.903 Mg/m³

Unit cell a=3.767 b=3.867 c=10.335 alpha=86.58 beta=79.50 gamma=60.86
Fractional positions:
B1 0.450 0.656 0.445
B2 0.550 0.344 0.555
Te1 0.277 0.294 0.152
Te2 0.723 0.706 0.848
Zr1 0.161 0.023 0.655
Zr2 0.839 0.977 0.345

=====

What should be chosen as the most stable of them? Choose run b.

=====

Run a
ZrB3Te | PBE-GGA | optimized geometry

Results
* mass density: 5.110 Mg/m³

Unit cell a=4.338 b=4.338 c=4.338 alpha=90.00 beta=90.00 gamma=90.00
Fractional positions:
B1 0.500 0.000 0.000
B2 0.000 0.000 0.500
B3 0.000 0.500 0.000
Te1 0.000 0.000 0.000
Zr1 0.500 0.500 0.500

=====

Run b
ZrB3Te | PBE-GGA | optimized geometry

Results
* mass density: 4.438 Mg/m³

Unit cell a=4.547 b=4.547 c=4.547 alpha=90.00 beta=90.00 gamma=90.00
Fractional positions:
Te1 0.500 0.500 0.500
B1 0.500 0.000 0.000
B2 0.000 0.500 0.000
B3 0.000 0.000 0.500
Zr1 0.000 0.000 0.000

=====

What should be chosen as the most stable of them? Choose run b.

=====

Run a
ThB4 | PBE-GGA | optimized geometry

Results
* mass density: 3.730 Mg/m³

Unit cell a=4.967 b=4.967 c=4.967 alpha=90.00 beta=90.00 gamma=90.00
Fractional positions:
B1 0.000 0.000 0.000
B2 0.000 0.500 0.500
B3 0.500 0.000 0.500
B4 0.500 0.500 0.000
Th1 0.500 0.500 0.500

=====

Run b
ThB4 | PBE-GGA | optimized geometry

Results
* mass density: 8.434 Mg/m³

Unit cell a=7.256 b=7.256 c=4.117 alpha=90.00 beta=90.00 gamma=90.00
Fractional positions:
B1 0.675 0.539 0.500
B2 0.961 0.825 0.500
B3 0.825 0.039 0.500
B4 0.539 0.325 0.500
B5 0.090 0.410 0.500
B6 0.175 0.961 0.500
B7 0.000 0.000 0.201
B8 0.039 0.175 0.500
B9 0.410 0.910 0.500
B10 0.910 0.590 0.500
B11 0.000 0.000 0.799
B12 0.500 0.500 0.201
B13 0.325 0.461 0.500
B14 0.500 0.500 0.799
B15 0.590 0.090 0.500
B16 0.461 0.675 0.500
Th1 0.315 0.185 0.000
Th2 0.185 0.685 0.000
Th3 0.815 0.315 0.000
Th4 0.685 0.815 0.000

=====

What should be chosen as the most stable of them? Choose run b.

=====

Run a
ThB6 | PBE-GGA | optimized geometry

Results
* mass density: 7.401 Mg/m³

Unit cell a=4.381 b=4.381 c=6.943 alpha=90.00 beta=90.00 gamma=90.00
Fractional positions:
B1 0.500 0.500 0.749
B2 0.000 0.000 0.251
B3 0.250 0.750 0.625
B4 0.500 0.500 0.251
B5 0.750 0.750 0.625
B6 0.250 0.250 0.375
B7 0.250 0.750 0.375
B8 0.750 0.750 0.375
B9 0.750 0.250 0.375
B10 0.250 0.250 0.625
B11 0.750 0.250 0.625
B12 0.000 0.000 0.749
Th1 0.500 0.000 0.000
Th2 0.000 0.500 0.000

=====

Run b
ThB6 | PBE-GGA | optimized geometry

Results
* mass density: 7.095 Mg/m³

Unit cell a=4.111 b=4.111 c=4.111 alpha=90.00 beta=90.00 gamma=90.00
Fractional positions:
B1 0.500 0.500 0.197
B2 0.500 0.197 0.500
B3 0.803 0.500 0.500
B4 0.500 0.500 0.803
B5 0.500 0.803 0.500
B6 0.197 0.500 0.500
Th1 0.000 0.000 0.000

=====

What should be chosen as the most stable of them? Choose run b.

=====

Run a
TiTl3B | PBE-GGA | optimized geometry

Results
* mass density: 9.592 Mg/m³

Unit cell a=4.881 b=4.881 c=4.881 alpha=90.00 beta=90.00 gamma=90.00
Fractional positions:
B1 0.000 0.000 0.000
Ti1 0.500 0.500 0.500
Tl1 0.500 0.000 0.000
Tl2 0.000 0.500 0.000
Tl3 0.000 0.000 0.500

=====

Run b
TiTl3B | PBE-GGA | optimized geometry

Results
* mass density: 6.973 Mg/m³

Unit cell a=5.429 b=5.429 c=5.429 alpha=90.00 beta=90.00 gamma=90.00
Last column: magnetic moment on the atom in μB.
Fractional positions:
Ti1 0.000 0.000 0.000  1.02
Tl1 0.500 0.000 0.000  0.05
Tl2 0.000 0.500 0.000  0.08
Tl3 0.000 0.000 0.500  0.04
B1 0.500 0.500 0.500  -0.13

=====

What should be chosen as the most stable of them? Choose run a.

=====

Run a
Ti2TlB | PBE-GGA | optimized geometry

Results
* mass density: 7.638 Mg/m³

Unit cell a=6.771 b=6.771 c=5.623 alpha=52.98 beta=52.98 gamma=90.00
Fractional positions:
Ti1 0.875 0.806 0.750
Ti2 0.194 0.625 0.250
Ti3 0.375 0.444 0.750
Ti4 0.556 0.125 0.250
B1 0.250 0.750 0.500
B2 0.500 0.500 0.000
Tl1 0.000 0.000 0.000
Tl2 0.750 0.250 0.500

=====

Run b
Ti2TlB | PBE-GGA | optimized geometry

Results
* mass density: 8.169 Mg/m³

Unit cell a=4.471 b=4.471 c=4.471 alpha=60.00 beta=60.00 gamma=60.00
Last column: magnetic moment on the atom in μB.
Fractional positions:
Ti1 0.750 0.750 0.750  0.41
Ti2 0.250 0.250 0.250  0.41
B1 0.000 0.000 0.000  0.02
Tl1 0.500 0.500 0.500  0.01

=====

What should be chosen as the most stable of them? Choose run a.

=====

Run a
TiTl2B | PBE-GGA | optimized geometry

Results
* mass density: 9.141 Mg/m³

Unit cell a=8.654 b=8.654 c=6.526 alpha=48.47 beta=48.47 gamma=90.00
Fractional positions:
B1 0.500 0.500 0.000
B2 0.250 0.750 0.500
Tl1 0.503 0.125 0.250
Tl2 0.875 0.753 0.750
Tl3 0.247 0.625 0.250
Tl4 0.375 0.497 0.750
Ti1 0.750 0.250 0.500
Ti2 0.000 0.000 0.000

=====

Run b
TiTl2B | PBE-GGA | optimized geometry

Results
* mass density: 9.554 Mg/m³

Unit cell a=4.861 b=4.861 c=4.861 alpha=60.00 beta=60.00 gamma=60.00
Fractional positions:
B1 0.000 0.000 0.000
Tl1 0.750 0.750 0.750
Tl2 0.250 0.250 0.250
Ti1 0.500 0.500 0.500

=====

What should be chosen as the most stable of them? Choose run a.

=====

Run a
TiVB3 | PBE-GGA | optimized geometry

Results
* mass density: 3.808 Mg/m³

Unit cell a=3.854 b=3.854 c=3.854 alpha=90.00 beta=90.00 gamma=90.00
Fractional positions:
Ti1 0.500 0.500 0.500
V1 0.000 0.000 0.000
B1 0.500 0.000 0.000
B2 0.000 0.500 0.000
B3 0.000 0.000 0.500

=====

Run b
TiVB3 | PBE-GGA | optimized geometry

Results
* mass density: 3.527 Mg/m³

Unit cell a=3.953 b=3.953 c=3.953 alpha=90.00 beta=90.00 gamma=90.00
Last column: magnetic moment on the atom in μB.
Fractional positions:
Ti1 0.000 0.000 0.000  -0.07
V1 0.500 0.500 0.500  1.82
B1 0.500 0.000 0.000  -0.04
B2 0.000 0.500 0.000  -0.04
B3 0.000 0.000 0.500  -0.04

=====

Run c
TiVB3 | PBE-GGA | optimized geometry

Results
* mass density: 4.969 Mg/m³

Unit cell a=3.008 b=3.142 c=9.413 alpha=99.61 beta=90.00 gamma=90.00
Fractional positions:
B1 0.750 0.619 0.237
B2 0.250 0.381 0.763
B3 0.750 0.331 0.661
B4 0.250 0.669 0.339
B5 0.250 0.476 0.952
B6 0.750 0.524 0.048
Ti1 0.250 0.071 0.143
Ti2 0.750 0.929 0.857
V1 0.250 0.794 0.589
V2 0.750 0.206 0.411

=====

What should be chosen as the most stable of them? Choose run c.